DFT (GGA-PBEsol) results for CaAl2Rh after structural relaxation.

The structure in POSCAR format:
```
CaAl2Rh
1.0
4.2374 0.0000 0.0000
2.1187 3.6697 0.0000
2.1187 1.2232 5.2005
Ca Rh Al
1 1 2
Cartesian
0.0000 0.0000 0.0000
4.2374 2.4465 2.6002
6.3562 3.6697 3.1268
2.1187 1.2232 2.0737
```

Values from the calculation:
Energy of formation from the pure elements (meV/atom): -578

---

DFT (GGA-PBEsol) results for CaAl2Rh2 after structural relaxation.

The structure in POSCAR format:
```
CaAl2Rh2
1.0
-1.1863 -2.5674 -0.6205
1.9974 0.7882 -7.0801
6.4467 -3.3288 1.4481
Ca Rh Al
2 4 4
Cartesian
0.0000 0.0000 0.0000
4.2221 -1.2703 -2.8160
6.1713 -2.5514 -1.2421
5.8921 -1.4974 -5.0692
2.2728 0.0108 -4.3898
2.5520 -1.0432 -0.5628
3.8105 -3.3032 -0.3734
6.2304 -3.6429 -3.5942
3.4474 -1.8047 -5.8791
1.0274 -1.4650 -2.6583
```

Values from the calculation:
Energy of formation from the pure elements (meV/atom): -779

---

DFT (GGA-PBEsol) results for CaAl2Rh after structural relaxation.

The structure in POSCAR format:
```
CaAl2Rh
1.0
-3.7935 0.0938 -1.9864
-1.0827 -3.1449 -2.6986
-3.7655 -3.6794 2.3997
Ca Rh Al
1 1 2
Cartesian
-4.3653 -3.4205 -1.0604
-6.9470 -5.6272 -0.8519
-3.5938 -3.4658 2.0819
-1.8568 -1.3049 -1.1333
```

Values from the calculation:
Energy of formation from the pure elements (meV/atom): -573

---

DFT (GGA-PBEsol) results for CaAl2TeRh after structural relaxation.

The structure in POSCAR format:
```
CaAl2TeRh
1.0
-1.1893 -2.0708 -4.6889
-0.2242 -4.7878 2.1714
-5.2605 0.7094 1.0210
Ca Te Rh Al
1 1 1 2
Cartesian
0.0000 0.0000 0.0000
-2.6302 0.3547 0.5105
-3.3370 -3.0746 -0.7482
-0.1121 -2.3939 1.0857
-0.5947 -1.0354 -2.3444
```

Values from the calculation:
Formation energy (no corrections) (kJ/mol of formula units): 704.9

---

DFT (GGA-PBEsol) results for CaAl4Ru after structural relaxation.

The structure in POSCAR format:
```
CaAl4Ru
1.0
-3.1067 -2.0874 1.5150
3.7323 -5.6147 -0.0826
4.1099 2.6338 6.6757
Ru Ca Al
2 2 8
Cartesian
2.3287 -0.5356 4.0371
2.4068 -4.5326 4.0711
4.7456 -3.0004 5.5971
-0.0101 -2.0678 2.5111
0.2615 -0.3354 5.4549
4.4740 -4.7328 2.6532
3.0034 -2.5205 2.6858
1.7321 -2.5477 5.4223
1.8662 -2.8073 -0.0413
0.0000 0.0000 0.0000
3.1084 -0.0507 6.3041
1.6271 -5.0176 1.8040
```

Values from the calculation:
Energy of formation from the pure elements (meV/atom): -337

---

DFT (GGA-PBEsol) results for CaAlRu3 after structural relaxation.

The structure in POSCAR format:
```
CaAlRu3
1.0
4.4879 0.0000 0.0000
0.0000 4.4879 0.0000
0.0000 0.0000 4.4879
Ru Ca Al
3 1 1
Cartesian
0.0000 2.2439 0.0000
0.0000 0.0000 2.2439
2.2439 0.0000 0.0000
2.2439 2.2439 2.2439
0.0000 0.0000 0.0000
```

Values from the calculation:
Energy of formation from the pure elements (meV/atom): 849

---

DFT (GGA-PBEsol) results for CaAl2Ru after structural relaxation.

The structure in POSCAR format:
```
CaAl2Ru
1.0
4.5614 0.0000 0.0000
2.2807 3.9503 0.0000
2.2807 1.3168 3.7244
Ru Ca Al
1 1 2
Cartesian
2.2807 1.3168 0.9311
4.5614 2.6336 1.8622
0.0000 0.0000 0.0000
6.8422 3.9503 2.7933
```

Values from the calculation:
Energy of formation from the pure elements (meV/atom): 29

---

DFT (GGA-PBEsol) results for CaAlRu2 after structural relaxation.

The structure in POSCAR format:
```
CaAlRu2
1.0
4.4862 0.0000 0.0000
2.2431 3.8851 0.0000
2.2431 1.2950 3.6629
Ru Ca Al
2 1 1
Cartesian
0.0000 0.0000 0.0000
2.2431 1.2950 0.9157
6.7293 3.8851 2.7472
4.4862 2.5901 1.8315
```

Values from the calculation:
Energy of formation from the pure elements (meV/atom): 259

---

no.,DOS at the Fermi energy (states/eV per cell)
1,1.114
2,3.160
3,2.009
4,7.528
5,6.963
6,6.681
7,2.554
8,5.023